{
  "formula": "NdInHg",
  "functional": "PBE",
  "state": "relaxed",
  "total_energy_ev_per_cell": -8.861,
  "formation_energy_kj_per_mol_atoms": -33.9,
  "space_group": "No. 107",
  "lattice": [[3.6932, 0.0000, 0.0000], [0.0000, 3.6932, 0.0000], [-1.8466, -1.8466, 5.9326]],
  "species": ["In", "Nd", "Hg"],
  "frac_coords": [[0.6278, 0.6278, 0.2556], [0.9454, 0.9454, 0.8908], [0.2768, 0.2768, 0.5536]]
}